[1]
Compound: TcAsSCl2
Source: Alexandria via LeMat-Bulk
Functional: PBE
Structure: optimized geometry

Unit cell a=4.909 b=4.909 c=4.535 alpha=90.00 beta=90.00 gamma=90.00
Element x y z (fractional)
Tc 0.000 0.000 0.000
As 0.500 0.500 0.500
S 0.000 0.000 0.500
Cl 0.000 0.500 0.000
Cl 0.500 0.000 0.000

- E above lowest polymorph: 0.000 eV per atom
- SG: P4/mmm, No. 123
- Magnetization: 1.33 μB/f.u.

***

[2]
Compound: MgNbTl3
Source: Alexandria via LeMat-Bulk
Functional: PBE
Structure: optimized geometry

Unit cell a=5.352 b=5.352 c=5.352 alpha=90.00 beta=90.00 gamma=90.00
Element x y z (fractional)
Mg 0.000 0.000 0.000
Nb 0.500 0.500 0.500
Tl 0.000 0.000 0.500
Tl 0.000 0.500 0.000
Tl 0.500 0.000 0.000

- E above lowest polymorph: 0.395 eV per atom
- SG: Pm-3m, No. 221
- Formation energy from the elements: 1065 meV per atom
- Magnetization: 3.29 μB/f.u.

***

[3]
Compound: Tb2BeGe3
Source: Alexandria via LeMat-Bulk
Functional: PBE
Structure: optimized geometry

Unit cell a=8.118 b=8.100 c=5.745 alpha=69.42 beta=69.08 gamma=41.50
Element x y z (fractional)
Tb 0.243 0.757 0.757
Tb 0.250 0.250 0.250
Tb 0.750 0.750 0.750
Tb 0.757 0.243 0.243
Be 0.333 0.333 0.667
Be 0.667 0.667 0.333
Ge 0.175 0.175 0.825
Ge 0.181 0.643 0.357
Ge 0.357 0.819 0.181
Ge 0.643 0.181 0.819
Ge 0.819 0.357 0.643
Ge 0.825 0.825 0.175

- E above lowest polymorph: 0.000 eV per atom
- SG: Fmmm, No. 69
- Formation energy from the elements: -624 meV per atom
- Magnetization: 0.00 μB/f.u.

***

[4]
Compound: Tm4Sc2Tl
Source: Alexandria via LeMat-Bulk
Functional: PBE
Structure: optimized geometry

Unit cell a=8.637 b=8.637 c=8.637 alpha=141.67 beta=141.67 gamma=55.32
Element x y z (fractional)
Tm 0.000 0.500 0.500
Tm 0.192 0.192 0.000
Tm 0.500 0.000 0.500
Tm 0.808 0.808 0.000
Sc 0.402 0.402 0.000
Sc 0.598 0.598 0.000
Tl 0.000 0.000 0.000

- SG: I4/mmm, No. 139
- Formation energy from the elements: 671 meV per atom
- Magnetization: 0.00 μB/f.u.